Computed, not measured: crystalline CaBiAsSe2 at its relaxed geometry at the PBE level of DFT.

```
CaBiAsSe2
1.0
-2.9883 4.4410 -1.3035
-4.6282 -2.8531 0.8896
0.0412 1.5455 5.1712
Se Ca Bi As
2 1 1 1
Cartesian
-2.3141 -1.4266 0.4448
-1.4942 2.2205 -0.6517
-3.7876 1.5667 2.3787
0.0000 0.0000 0.0000
0.0206 0.7728 2.5856
```

- Relative energy among the computed polymorphs: 0.00 kJ per mole of atoms
- ΔE_f (raw): -75 meV/atom


Computed, not measured: crystalline LiSm2Bi at its relaxed geometry at the PBE level of DFT.

```
LiSm2Bi
1.0
4.4089 0.0000 0.0000
0.0000 5.0406 0.0000
0.0000 0.0000 5.0406
Sm Bi Li
2 1 1
Cartesian
0.0000 2.5203 0.0000
0.0000 0.0000 2.5203
2.2044 0.0000 0.0000
2.2044 2.5203 2.5203
```

- Relative energy among the computed polymorphs: 0.27 kJ per mole of atoms


Computed, not measured: crystalline YIF2 at its relaxed geometry at the PBE level of DFT.

```
YIF2
1.0
-1.3404 -3.5744 -0.2476
5.8442 0.0024 -2.0722
2.3514 -1.3411 6.6302
F Y I
4 2 2
Cartesian
4.4809 -1.8510 2.4815
5.3056 -2.3214 4.8069
2.3743 -3.0622 1.8289
1.5496 -2.5918 -0.4965
3.7188 -3.6990 3.7344
3.1364 -1.2141 0.5759
4.6398 -3.7522 -0.4706
2.2154 -1.1610 4.7810
```

- Relative energy among the computed polymorphs: 0.00 kJ per mole of atoms
- ΔE_f (raw): -3088 meV/atom


Computed, not measured: crystalline TlIn2Sb at its relaxed geometry at the PBE level of DFT.

```
TlIn2Sb
1.0
-1.6456 -3.0488 -5.6941
4.7184 -2.8347 -3.7586
-3.2655 0.3100 5.8023
In Sb Tl
2 1 1
Cartesian
-1.7137 -2.7898 -2.2280
3.0310 -5.8034 -9.3241
1.5849 -3.0345 -4.8755
1.5144 -2.7710 -1.4020
```

- Relative energy among the computed polymorphs: 2.49 kJ per mole of atoms
- ΔE_f (raw): 46 meV/atom


Computed, not measured: crystalline AlInHI2 at its relaxed geometry at the PBE level of DFT.

```
AlInHI2
1.0
6.2075 0.0000 0.0000
0.0000 3.9675 0.0000
0.0000 0.0000 6.2075
Al H In I
1 1 1 2
Cartesian
3.1038 1.9837 3.1038
0.0000 1.9837 0.0000
0.0000 0.0000 0.0000
3.1038 0.0000 0.0000
0.0000 0.0000 3.1038
```

- Calculated total energy: -12.74 eV for the cell shown


Computed, not measured: crystalline BaTmPb2 at its relaxed geometry at the PBE level of DFT.

```
BaTmPb2
1.0
4.1211 0.0000 0.0000
0.0000 4.1211 0.0000
0.0000 0.0000 7.8249
Pb Tm Ba
2 1 1
Cartesian
0.0000 0.0000 1.5998
0.0000 0.0000 6.2252
2.0606 2.0606 0.0000
2.0606 2.0606 3.9125
```

- Calculated total energy: -15.59 eV for the cell shown